*one*
First-principles (PBE) data for an optimized crystal structure of Ca3Br3N, as listed in Alexandria. Values from VASP.

```
&SYSTEM
  ibrav = 0, nat = 14, ntyp = 3
/
ATOMIC_SPECIES
Ca 40.08 Ca.upf
N 14.01 N.upf
Br 79.90 Br.upf
CELL_PARAMETERS angstrom
3.892 0.000 0.000
0.000 8.210 -0.400
0.000 0.032 11.279
ATOMIC_POSITIONS angstrom
Ca 0.973 2.612 6.899
N 0.973 7.242 3.937
Ca 2.919 0.707 4.461
Br 2.919 5.124 6.831
Br 0.973 7.184 9.471
Ca 0.973 7.535 6.418
Br 2.919 1.058 1.408
N 2.919 1.000 6.942
Br 2.919 5.154 1.167
Ca 2.919 1.028 9.395
Ca 2.919 5.630 3.980
Ca 0.973 7.214 1.484
Br 0.973 3.118 4.048
Br 0.973 3.088 9.712
```

Computed properties:
As for the density of states at the Fermi level: 0.00 states/eV/cell. As for the symmetry: P2_1/m (11). The total magnetization is 0.012 μB/atom.

*two*
First-principles (PBE) data for an optimized crystal structure of Ca3Br3N, as listed in Alexandria. Values from VASP.

```
&SYSTEM
  ibrav = 0, nat = 14, ntyp = 3
/
ATOMIC_SPECIES
Ca 40.08 Ca.upf
Br 79.90 Br.upf
N 14.01 N.upf
CELL_PARAMETERS angstrom
7.637 0.102 -0.092
-3.311 6.883 -0.092
-0.741 -1.197 7.363
ATOMIC_POSITIONS angstrom
Ca 3.797 6.130 1.042
Ca 3.956 3.066 5.299
Ca -0.371 2.721 1.880
Br 5.228 0.766 3.590
Br 2.449 3.954 2.484
Ca -0.212 -0.343 6.138
Br -1.643 5.022 3.590
N 0.653 1.055 1.010
N 2.931 4.733 6.169
Br -0.404 5.082 -0.092
Br 4.730 1.903 -0.092
Br 1.135 1.833 4.695
Ca 0.983 4.908 5.299
Ca 2.602 0.880 1.880
```

Computed properties:
As for the density of states at the Fermi level: 0.00 states/eV/cell. As for the symmetry: C2/m (12). The total magnetization is 0.011 μB/atom.

Most favorable structure: *one*. The second most favorable one is 0.043 eV/atom above it.

*one*
First-principles (PBE) data for an optimized crystal structure of Ca4BrN2, as listed in Alexandria. Values from VASP.

```
&SYSTEM
  ibrav = 0, nat = 14, ntyp = 3
/
ATOMIC_SPECIES
Br 79.90 Br.upf
N 14.01 N.upf
Ca 40.08 Ca.upf
CELL_PARAMETERS angstrom
-3.109 -0.385 7.072
4.984 -5.606 1.888
2.607 6.766 -2.707
ATOMIC_POSITIONS angstrom
Br 0.007 -0.011 0.011
N 0.577 -0.652 4.451
N 3.069 -3.455 5.395
Ca 0.129 1.006 2.625
N 3.436 2.924 -0.438
Ca 1.804 4.145 1.027
Ca 1.958 1.318 5.169
Ca 1.026 -2.309 6.278
Ca -1.139 0.847 5.503
Ca -0.075 3.595 4.399
Ca 3.837 1.868 1.797
Ca 2.294 -2.150 3.400
N 1.881 2.732 3.098
Br 4.257 -0.906 1.819
```

Computed properties:
As for the density of states at the Fermi level: 2.50 states/eV/cell. As for the symmetry: P-1 (2). The total magnetization is 0.000 μB/atom.

*two*
First-principles (PBE) data for an optimized crystal structure of Ca4BrN2, as listed in Alexandria. Values from VASP.

```
&SYSTEM
  ibrav = 0, nat = 7, ntyp = 3
/
ATOMIC_SPECIES
Ca 40.08 Ca.upf
Br 79.90 Br.upf
N 14.01 N.upf
CELL_PARAMETERS angstrom
3.635 0.000 0.528
1.779 3.170 0.528
-0.117 -0.068 13.575
ATOMIC_POSITIONS angstrom
Ca 4.735 2.772 5.727
Br 0.000 0.000 0.000
Ca 0.562 0.329 8.904
Ca 1.480 0.867 2.584
Ca 3.817 2.235 12.047
N 3.109 1.820 4.149
N 2.188 1.281 10.482
```

Computed properties:
As for the density of states at the Fermi level: 1.44 states/eV/cell. As for the symmetry: R-3m (166). The total magnetization is 0.000 μB/atom.

Most favorable structure: *two*. The second most favorable one is 0.215 eV/atom above it.

*one*
First-principles (PBE) data for an optimized crystal structure of CaBrN2, as listed in Alexandria. Values from VASP.

```
&SYSTEM
  ibrav = 0, nat = 4, ntyp = 3
/
ATOMIC_SPECIES
Ca 40.08 Ca.upf
Br 79.90 Br.upf
N 14.01 N.upf
CELL_PARAMETERS angstrom
0.000 3.054 3.054
3.054 0.000 3.054
3.054 3.054 0.000
ATOMIC_POSITIONS angstrom
Ca 0.000 0.000 0.000
Br 3.054 3.054 3.054
N 1.527 1.527 1.527
N 4.582 4.582 4.582
```

Computed properties:
As for the density of states at the Fermi level: 2.59 states/eV/cell. As for the symmetry: Fm-3m (225). The total magnetization is 0.000 μB/atom.

*two*
First-principles (PBE) data for an optimized crystal structure of CaBrN2, as listed in Alexandria. Values from VASP.

```
&SYSTEM
  ibrav = 0, nat = 4, ntyp = 3
/
ATOMIC_SPECIES
N 14.01 N.upf
Ca 40.08 Ca.upf
Br 79.90 Br.upf
CELL_PARAMETERS angstrom
1.992 0.000 6.729
-0.996 1.725 6.729
-0.996 -1.725 6.729
ATOMIC_POSITIONS angstrom
N 0.000 0.000 2.285
N 0.000 0.000 17.901
Ca 0.000 0.000 0.000
Br 0.000 0.000 10.093
```

Computed properties:
As for the density of states at the Fermi level: 1.39 states/eV/cell. As for the symmetry: R-3m (166). The total magnetization is 0.000 μB/atom.

Most favorable structure: *one*. The second most favorable one is 0.285 eV/atom above it.

*one*
First-principles (PBE) data for an optimized crystal structure of CaBrN2, as listed in Alexandria. Values from VASP.

```
&SYSTEM
  ibrav = 0, nat = 8, ntyp = 3
/
ATOMIC_SPECIES
Ca 40.08 Ca.upf
N 14.01 N.upf
Br 79.90 Br.upf
CELL_PARAMETERS angstrom
4.921 0.000 0.000
0.000 4.921 0.000
2.461 2.461 5.843
ATOMIC_POSITIONS angstrom
Ca 2.461 4.921 2.921
N 0.991 3.691 1.461
Ca 2.461 2.461 0.000
Br 4.921 2.461 2.921
N 3.930 1.230 1.461
N 6.151 6.391 4.382
N 3.691 3.452 4.382
Br 0.000 0.000 0.000
```

Computed properties:
As for the density of states at the Fermi level: 1.63 states/eV/cell. As for the symmetry: I-42d (122). The total magnetization is 0.000 μB/atom.

*two*
First-principles (PBE) data for an optimized crystal structure of CaBrN2, as listed in Alexandria. Values from VASP.

```
&SYSTEM
  ibrav = 0, nat = 4, ntyp = 3
/
ATOMIC_SPECIES
N 14.01 N.upf
Br 79.90 Br.upf
Ca 40.08 Ca.upf
CELL_PARAMETERS angstrom
2.208 0.000 6.025
-1.104 1.912 6.025
-1.104 -1.912 6.025
ATOMIC_POSITIONS angstrom
N 0.000 0.000 1.922
Br 0.000 0.000 0.000
Ca 0.000 0.000 9.038
N 0.000 0.000 16.153
```

Computed properties:
As for the density of states at the Fermi level: 4.05 states/eV/cell. As for the symmetry: R-3m (166). The total magnetization is 0.349 μB/atom.

Most favorable structure: *two*. The second most favorable one is 0.266 eV/atom above it.

*one*
First-principles (PBE) data for an optimized crystal structure of CaBr2N2, as listed in Alexandria. Values from VASP.

```
&SYSTEM
  ibrav = 0, nat = 10, ntyp = 3
/
ATOMIC_SPECIES
N 14.01 N.upf
Br 79.90 Br.upf
Ca 40.08 Ca.upf
CELL_PARAMETERS angstrom
7.079 0.000 0.000
0.000 7.079 0.000
0.000 0.000 3.804
ATOMIC_POSITIONS angstrom
N 5.393 5.226 0.000
N 5.226 1.687 0.000
N 1.853 5.393 0.000
N 1.687 1.853 0.000
Br 2.315 1.224 1.902
Ca 0.000 0.000 0.000
Br 5.855 2.315 1.902
Br 4.764 5.855 1.902
Br 1.224 4.764 1.902
Ca 3.540 3.540 0.000
```

Computed properties:
As for the density of states at the Fermi level: 5.01 states/eV/cell. As for the symmetry: P4/mbm (127). The total magnetization is 0.000 μB/atom.

*two*
First-principles (PBE) data for an optimized crystal structure of CaBr2N2, as listed in Alexandria. Values from VASP.

```
&SYSTEM
  ibrav = 0, nat = 5, ntyp = 3
/
ATOMIC_SPECIES
N 14.01 N.upf
Br 79.90 Br.upf
Ca 40.08 Ca.upf
CELL_PARAMETERS angstrom
4.294 0.000 0.000
-2.147 3.708 0.192
0.000 0.807 10.506
ATOMIC_POSITIONS angstrom
N 0.000 0.790 5.654
N 2.147 3.726 5.044
Br 2.147 1.154 1.621
Br 0.000 3.361 9.077
Ca 0.000 0.000 0.000
```

Computed properties:
As for the density of states at the Fermi level: 0.00 states/eV/cell. As for the symmetry: C2/m (12). The total magnetization is 0.000 μB/atom.

Most favorable structure: *two*. The second most favorable one is 1.809 eV/atom above it.

*one*
First-principles (PBE) data for an optimized crystal structure of CaBr2N2, as listed in Alexandria. Values from VASP.

```
&SYSTEM
  ibrav = 0, nat = 5, ntyp = 3
/
ATOMIC_SPECIES
N 14.01 N.upf
Br 79.90 Br.upf
Ca 40.08 Ca.upf
CELL_PARAMETERS angstrom
-1.069 5.415 1.058
-4.203 -0.101 -3.729
-4.867 1.720 1.205
ATOMIC_POSITIONS angstrom
N -2.992 2.507 -0.931
Br -4.286 4.896 0.464
Ca 0.000 0.000 0.000
Br -5.853 2.138 -1.930
N -7.148 4.526 -0.535
```

Computed properties:
As for the density of states at the Fermi level: 0.00 states/eV/cell. As for the symmetry: I4/mmm (139). The total magnetization is 0.000 μB/atom.

*two*
First-principles (PBE) data for an optimized crystal structure of CaBr2N2, as listed in Alexandria. Values from VASP.

```
&SYSTEM
  ibrav = 0, nat = 5, ntyp = 3
/
ATOMIC_SPECIES
N 14.01 N.upf
Br 79.90 Br.upf
Ca 40.08 Ca.upf
CELL_PARAMETERS angstrom
3.382 0.000 0.000
0.000 3.382 0.000
1.691 1.691 9.778
ATOMIC_POSITIONS angstrom
N 3.382 1.691 4.889
Br 3.382 3.382 8.034
Br 1.691 1.691 1.744
Ca 0.000 0.000 0.000
N 1.691 3.382 4.889
```

Computed properties:
As for the density of states at the Fermi level: 0.38 states/eV/cell. As for the symmetry: I4/mmm (139). The total magnetization is 0.409 μB/atom.

Most favorable structure: *one*. The second most favorable one is 1.994 eV/atom above it.